No. 1
Density functional theory data (GGA-PBE) for PrGePO after structural relaxation.

Summary:
The calculation puts the total energy at -0.23024 Ha/atom. The crystal system is orthorhombic.

a b c (Å): 4.5174 4.6338 6.9479
angles (deg): 90.00 90.00 90.00
Element x y z (fractional)
Ge1 0.0000 0.8390 0.4552
O1 0.5000 0.8252 0.4316
O2 0.5000 0.1748 0.9316
Pr1 0.5000 0.6941 0.0841
Ge2 0.0000 0.1610 0.9552
P1 0.0000 0.6186 0.7831
P2 0.0000 0.3814 0.2831
Pr2 0.5000 0.3059 0.5841


No. 2
Density functional theory data (GGA-PBE) for CsCdFeTe3 after structural relaxation.

Summary:
The calculation puts the total energy at -0.13230 Ha/atom. The crystal system is orthorhombic.

a b c (Å): 16.9199 4.0832 11.9741
angles (deg): 90.00 90.00 90.00
Each line ends with the local moment (μB).
Element x y z (fractional)
Te1 0.9302 0.2500 0.4021  -0.04
Te2 0.8849 0.7500 0.6887  -0.04
Te3 0.3849 0.7500 0.8113  -0.04
Te4 0.1151 0.2500 0.3113  -0.04
Cs1 0.7403 0.7500 0.4075  0.00
Cs2 0.2403 0.7500 0.0925  0.00
Cd1 0.9828 0.7500 0.8852  0.01
Te5 0.5698 0.7500 0.9021  -0.04
Cs3 0.7597 0.2500 0.9075  0.00
Te6 0.1008 0.2500 0.9022  0.01
Cs4 0.2597 0.2500 0.5925  0.00
Fe1 0.0283 0.7500 0.3920  2.29
Te7 0.4302 0.2500 0.0979  -0.04
Te8 0.0698 0.7500 0.5979  -0.04
Fe2 0.9717 0.2500 0.6080  2.29
Fe3 0.5283 0.7500 0.1080  2.29
Te9 0.6151 0.2500 0.1887  -0.04
Fe4 0.4717 0.2500 0.8920  2.29
Te10 0.6008 0.2500 0.5978  0.01
Cd2 0.0172 0.2500 0.1148  0.01
Te11 0.8992 0.7500 0.0978  0.01
Te12 0.3992 0.7500 0.4022  0.01
Cd3 0.5172 0.2500 0.3852  0.01
Cd4 0.4828 0.7500 0.6148  0.01


How do the records compare in polymorph energy (0 for the lowest one)? In the order shown, they have 0.086 0.004 eV/atom.